First-principles (PBE) data for La12Sm7Sc after structural relaxation, as listed in Alexandria.

Summary:
SG: R-3 (148)
Excess energy over the best structure of this formula in the dataset in eV/atom: 0.000
Electronic total energy in eV/cell: -95.96
Formation energy in eV/atom: 0.127

```
20
Lattice="7.685 4.437 3.449 -7.685 4.437 3.449 0.000 -8.874 3.449" Properties=species:S:1:pos:R:3 pbc="T T T"
La -2.631 0.562 2.556
La -1.322 -5.517 4.155
La -5.439 -1.613 6.191
La 0.829 -2.560 2.556
La -4.116 3.903 4.155
La 1.803 1.998 2.556
La -1.803 -1.998 7.790
La 4.116 -3.903 6.191
La -0.829 2.560 7.790
La 5.439 1.613 4.155
La 1.322 5.517 6.191
La 2.631 -0.562 7.790
Sm 0.000 0.000 0.000
Sm -2.393 -2.325 4.434
Sm -3.210 0.910 5.912
Sm -0.816 3.235 4.434
Sm 0.816 -3.235 5.912
Sm 3.210 -0.910 4.434
Sm 2.393 2.325 5.912
Sc 0.000 0.000 5.173
```

---

First-principles (PBE) data for ReAsSe2 after structural relaxation, as listed in Alexandria.

Summary:
SG: Pm (6)
ΔE_f (raw) in eV per formula unit: 1.666
Electronic total energy in eV/cell: -22.40

```
4
Lattice="2.643 0.000 0.000 0.000 4.557 0.000 -1.146 0.000 7.104" Properties=species:S:1:pos:R:3 pbc="T T T"
Re 0.000 0.000 0.000
As 0.000 2.279 1.201
Se -0.001 0.000 2.614
Se 1.499 2.279 5.487
```

---

First-principles (PBE) data for AcTmNb2O8 after structural relaxation, as listed in Alexandria.

Summary:
SG: P-3m1 (164)
ΔE_f (raw) in eV per formula unit: -35.722
Electronic total energy in eV/cell: -104.11

```
12
Lattice="6.003 0.000 0.000 -3.002 5.199 0.000 0.000 0.000 7.094" Properties=species:S:1:pos:R:3 pbc="T T T"
Ac 0.000 0.000 0.000
Tm 0.000 0.000 3.547
Nb 0.000 3.466 1.545
Nb 3.002 1.733 5.549
O 0.000 1.632 2.040
O -1.589 4.383 2.040
O 1.413 0.816 5.054
O 0.000 3.466 6.833
O 3.002 1.733 0.261
O 1.589 4.383 2.040
O 4.590 0.816 5.054
O 3.002 3.567 5.054
```

---

First-principles (PBE) data for SmGeI after structural relaxation, as listed in Alexandria.

Summary:
SG: C2/m (12)
ΔE_f (raw) in eV per formula unit: -2.843
Electronic total energy in eV/cell: -54.92

```
12
Lattice="7.056 0.000 0.000 0.000 4.074 0.000 -0.707 0.000 13.809" Properties=species:S:1:pos:R:3 pbc="T T T"
Sm 0.823 0.000 4.363
Sm 1.998 2.037 9.446
Sm 4.351 2.037 4.363
Sm 5.526 0.000 9.446
Ge 0.823 0.000 7.493
Ge 1.998 2.037 6.316
Ge 4.351 2.037 7.493
Ge 5.527 0.000 6.316
I -0.355 2.037 11.545
I 3.176 0.000 2.264
I 3.173 0.000 11.545
I 6.704 2.037 2.264
```

---

First-principles (PBE) data for Sr2AlBiO5 after structural relaxation, as listed in Alexandria.

Summary:
SG: Cmc2_1 (36)
ΔE_f (raw) in eV per formula unit: -21.337
Electronic total energy in eV/cell: -114.23

```
18
Lattice="1.678 -8.442 0.000 1.678 8.442 0.000 0.000 0.000 9.853" Properties=species:S:1:pos:R:3 pbc="T T T"
Sr 1.678 6.795 4.926
Sr 1.678 6.599 1.220
Sr 1.678 -6.599 6.146
Sr 1.678 -6.795 0.000
Al 1.678 0.861 2.624
Al 1.678 -0.861 7.551
Bi 1.678 4.685 8.183
Bi 1.678 -4.685 3.256
O 1.678 7.800 8.319
O 1.678 3.414 4.808
O 1.678 2.518 1.891
O 1.678 2.446 8.112
O 1.678 0.052 6.032
O 1.678 -0.052 1.106
O 1.678 -2.446 3.185
O 1.678 -2.518 6.818
O 1.678 -3.414 9.734
O 1.678 -7.800 3.393
```

---

First-principles (PBE) data for SiTePbO2 after structural relaxation, as listed in Alexandria.

Summary:
SG: P4/mmm (123)
ΔE_f (raw) in eV per formula unit: 0.705
Electronic total energy in eV/cell: -21.48

```
5
Lattice="4.191 0.000 0.000 0.000 4.191 0.000 0.000 0.000 6.493" Properties=species:S:1:pos:R:3 pbc="T T T"
Si 0.000 0.000 0.000
Te 2.096 2.096 0.000
Pb 2.096 2.096 3.247
O 0.000 2.096 3.247
O 2.096 0.000 3.247
```